# 1
Ce8TcPt5 after structural relaxation. Source: Alexandria via LeMat-Bulk, functional GGA-PBE.

The structure in CIF format:
```
data_Ce8TcPt5
_symmetry_space_group_name_H-M 'P 1'
_symmetry_Int_Tables_number 1
_cell_length_a 7.630
_cell_length_b 7.630
_cell_length_c 7.630
_cell_angle_alpha 110.00
_cell_angle_beta 108.42
_cell_angle_gamma 110.00
loop_
_symmetry_equiv_pos_as_xyz
'x,y,z'
loop_
_atom_site_label
_atom_site_type_symbol
_atom_site_fract_x
_atom_site_fract_y
_atom_site_fract_z
_atom_site_occupancy
Pt1 Pt 0.990 0.365 0.120 1
Pt2 Pt 0.755 0.635 0.625 1
Pt3 Pt 0.375 0.130 0.010 1
Pt4 Pt 0.500 0.000 0.500 1
Pt5 Pt 0.880 0.870 0.245 1
Ce1 Ce 0.252 0.263 0.390 1
Ce2 Ce 0.755 0.256 0.381 1
Ce3 Ce 0.619 0.374 0.875 1
Ce4 Ce 0.610 0.862 0.873 1
Ce5 Ce 0.127 0.737 0.989 1
Ce6 Ce 0.011 0.138 0.748 1
Ce7 Ce 0.501 0.626 0.245 1
Ce8 Ce 0.125 0.744 0.499 1
Tc1 Tc 0.250 0.500 0.750 1
```

The value obtained for the total energy is -98.99 eV/cell. The magnetic moment comes out at 4.5 Bohr magnetons per cell. For the formation energy from the elements, the calculation gives -0.7823 eV/atom. As for the space group: I-4.

# 2
Ce4TcPt after structural relaxation. Source: Alexandria via LeMat-Bulk, functional GGA-PBE.

The structure in CIF format:
```
data_Ce4TcPt
_symmetry_space_group_name_H-M 'P 1'
_symmetry_Int_Tables_number 1
_cell_length_a 5.305
_cell_length_b 5.906
_cell_length_c 10.406
_cell_angle_alpha 90.00
_cell_angle_beta 104.77
_cell_angle_gamma 90.00
loop_
_symmetry_equiv_pos_as_xyz
'x,y,z'
loop_
_atom_site_label
_atom_site_type_symbol
_atom_site_fract_x
_atom_site_fract_y
_atom_site_fract_z
_atom_site_occupancy
Tc1 Tc 0.155 0.361 0.309 1
Tc2 Tc 0.845 0.861 0.691 1
Ce1 Ce 0.435 0.833 0.870 1
Ce2 Ce 0.273 0.058 0.547 1
Ce3 Ce 0.883 0.237 0.766 1
Ce4 Ce 0.565 0.333 0.130 1
Ce5 Ce 0.117 0.737 0.234 1
Ce6 Ce 0.709 0.107 0.417 1
Ce7 Ce 0.291 0.607 0.583 1
Ce8 Ce 0.727 0.558 0.453 1
Pt1 Pt 0.422 0.338 0.844 1
Pt2 Pt 0.578 0.838 0.156 1
```

The value obtained for the total energy is -83.50 eV/cell. The magnetic moment comes out at 2.2 Bohr magnetons per cell. The energy relative to the lowest polymorph listed for this composition comes out at 0.1346 eV per atom. For the formation energy from the elements, the calculation gives -0.2676 eV/atom. As for the space group: Cmc2_1.

# 3
CeZrTcPt after structural relaxation. Source: Alexandria via LeMat-Bulk, functional GGA-PBE.

The structure in CIF format:
```
data_CeZrTcPt
_symmetry_space_group_name_H-M 'P 1'
_symmetry_Int_Tables_number 1
_cell_length_a 4.823
_cell_length_b 4.823
_cell_length_c 4.823
_cell_angle_alpha 60.00
_cell_angle_beta 60.00
_cell_angle_gamma 60.00
loop_
_symmetry_equiv_pos_as_xyz
'x,y,z'
loop_
_atom_site_label
_atom_site_type_symbol
_atom_site_fract_x
_atom_site_fract_y
_atom_site_fract_z
_atom_site_occupancy
Zr1 Zr 0.750 0.750 0.750 1
Ce1 Ce 0.250 0.250 0.250 1
Pt1 Pt 0.500 0.500 0.500 1
Tc1 Tc 0.000 0.000 0.000 1
```

The value obtained for the total energy is -32.87 eV/cell. The magnetic moment comes out at 0.1 Bohr magnetons per cell. For the formation energy from the elements, the calculation gives -0.4954 eV/atom. As for the space group: F-43m.

# 4
Ce2TePt after structural relaxation. Source: Alexandria via LeMat-Bulk, functional GGA-PBE.

The structure in CIF format:
```
data_Ce2TePt
_symmetry_space_group_name_H-M 'P 1'
_symmetry_Int_Tables_number 1
_cell_length_a 3.728
_cell_length_b 3.728
_cell_length_c 7.361
_cell_angle_alpha 90.00
_cell_angle_beta 90.00
_cell_angle_gamma 90.00
loop_
_symmetry_equiv_pos_as_xyz
'x,y,z'
loop_
_atom_site_label
_atom_site_type_symbol
_atom_site_fract_x
_atom_site_fract_y
_atom_site_fract_z
_atom_site_occupancy
Ce1 Ce 0.000 0.000 0.226 1
Ce2 Ce 0.000 0.000 0.774 1
Pt1 Pt 0.500 0.500 0.000 1
Te1 Te 0.500 0.500 0.500 1
```

The value obtained for the total energy is -25.17 eV/cell. The magnetic moment comes out at 2.4 Bohr magnetons per cell. The formation energy from raw total energies is -397 kJ/mol of formula units. The energy relative to the lowest polymorph listed for this composition comes out at 0.1458 eV per atom. As for the space group: P4/mmm.

# 5
Ce2TePt after structural relaxation. Source: Alexandria via LeMat-Bulk, functional GGA-PBE.

The structure in CIF format:
```
data_Ce2TePt
_symmetry_space_group_name_H-M 'P 1'
_symmetry_Int_Tables_number 1
_cell_length_a 4.167
_cell_length_b 6.238
_cell_length_c 8.925
_cell_angle_alpha 90.00
_cell_angle_beta 90.00
_cell_angle_gamma 90.00
loop_
_symmetry_equiv_pos_as_xyz
'x,y,z'
loop_
_atom_site_label
_atom_site_type_symbol
_atom_site_fract_x
_atom_site_fract_y
_atom_site_fract_z
_atom_site_occupancy
Ce1 Ce 0.500 0.500 0.160 1
Ce2 Ce 0.500 0.500 0.601 1
Ce3 Ce 0.000 0.000 0.840 1
Ce4 Ce 0.000 0.000 0.399 1
Te1 Te 0.000 0.500 0.886 1
Te2 Te 0.500 0.000 0.114 1
Pt1 Pt 0.000 0.500 0.379 1
Pt2 Pt 0.500 0.000 0.621 1
```

The value obtained for the total energy is -51.30 eV/cell. The magnetic moment comes out at 4.6 Bohr magnetons per cell. The formation energy from raw total energies is -444 kJ/mol of formula units. The energy relative to the lowest polymorph listed for this composition comes out at 0.0255 eV per atom. As for the space group: Pmmn.

# 6
Ce2TePt after structural relaxation. Source: Alexandria via LeMat-Bulk, functional GGA-PBE.

The structure in CIF format:
```
data_Ce2TePt
_symmetry_space_group_name_H-M 'P 1'
_symmetry_Int_Tables_number 1
_cell_length_a 4.198
_cell_length_b 4.198
_cell_length_c 8.053
_cell_angle_alpha 74.89
_cell_angle_beta 74.89
_cell_angle_gamma 60.00
loop_
_symmetry_equiv_pos_as_xyz
'x,y,z'
loop_
_atom_site_label
_atom_site_type_symbol
_atom_site_fract_x
_atom_site_fract_y
_atom_site_fract_z
_atom_site_occupancy
Te1 Te 0.499 0.499 0.502 1
Pt1 Pt 0.668 0.668 0.997 1
Ce1 Ce 0.070 0.070 0.789 1
Ce2 Ce 0.263 0.263 0.211 1
```

The value obtained for the total energy is -25.56 eV/cell. The magnetic moment comes out at 2.0 Bohr magnetons per cell. The formation energy from raw total energies is -435 kJ/mol of formula units. The energy relative to the lowest polymorph listed for this composition comes out at 0.0478 eV per atom. As for the space group: R3m.

# 7
Ce2TePt after structural relaxation. Source: Alexandria via LeMat-Bulk, functional GGA-PBE.

The structure in CIF format:
```
data_Ce2TePt
_symmetry_space_group_name_H-M 'P 1'
_symmetry_Int_Tables_number 1
_cell_length_a 4.213
_cell_length_b 4.214
_cell_length_c 7.911
_cell_angle_alpha 105.44
_cell_angle_beta 90.00
_cell_angle_gamma 120.00
loop_
_symmetry_equiv_pos_as_xyz
'x,y,z'
loop_
_atom_site_label
_atom_site_type_symbol
_atom_site_fract_x
_atom_site_fract_y
_atom_site_fract_z
_atom_site_occupancy
Ce1 Ce 0.762 0.524 0.786 1
Ce2 Ce 0.238 0.476 0.214 1
Pt1 Pt 0.500 0.000 0.000 1
Te1 Te 0.000 0.000 0.500 1
```

The value obtained for the total energy is -25.75 eV/cell. The magnetic moment comes out at 1.9 Bohr magnetons per cell. The formation energy from raw total energies is -454 kJ/mol of formula units. The energy relative to the lowest polymorph listed for this composition comes out at 0.0000 eV per atom. As for the space group: R-3m.

# 8
CeTePt after structural relaxation. Source: Alexandria via LeMat-Bulk, functional GGA-PBE.

The structure in CIF format:
```
data_CeTePt
_symmetry_space_group_name_H-M 'P 1'
_symmetry_Int_Tables_number 1
_cell_length_a 4.450
_cell_length_b 4.435
_cell_length_c 4.435
_cell_angle_alpha 120.00
_cell_angle_beta 90.00
_cell_angle_gamma 90.00
loop_
_symmetry_equiv_pos_as_xyz
'x,y,z'
loop_
_atom_site_label
_atom_site_type_symbol
_atom_site_fract_x
_atom_site_fract_y
_atom_site_fract_z
_atom_site_occupancy
Te1 Te 0.261 0.333 0.667 1
Ce1 Ce 0.718 0.667 0.333 1
Pt1 Pt 0.021 0.000 0.000 1
```

The value obtained for the total energy is -18.29 eV/cell. The magnetic moment comes out at 0.2 Bohr magnetons per cell. The formation energy from raw total energies is -306 kJ/mol of formula units. The energy relative to the lowest polymorph listed for this composition comes out at 0.0384 eV per atom. As for the space group: P3m1.

# 9
Ce4Te3Pt after structural relaxation. Source: Alexandria via LeMat-Bulk, functional GGA-PBE.

The structure in CIF format:
```
data_Ce4Te3Pt
_symmetry_space_group_name_H-M 'P 1'
_symmetry_Int_Tables_number 1
_cell_length_a 4.306
_cell_length_b 7.734
_cell_length_c 7.734
_cell_angle_alpha 108.61
_cell_angle_beta 90.00
_cell_angle_gamma 90.00
loop_
_symmetry_equiv_pos_as_xyz
'x,y,z'
loop_
_atom_site_label
_atom_site_type_symbol
_atom_site_fract_x
_atom_site_fract_y
_atom_site_fract_z
_atom_site_occupancy
Ce1 Ce 0.500 0.241 0.759 1
Ce2 Ce 0.500 0.759 0.241 1
Ce3 Ce 0.000 0.779 0.779 1
Ce4 Ce 0.000 0.221 0.221 1
Pt1 Pt 0.500 0.000 0.000 1
Te1 Te 0.500 0.500 0.500 1
Te2 Te 0.000 0.000 0.500 1
Te3 Te 0.000 0.500 0.000 1
```

The value obtained for the total energy is -49.15 eV/cell. The magnetic moment comes out at 4.2 Bohr magnetons per cell. The formation energy from raw total energies is -960 kJ/mol of formula units. As for the space group: Cmmm.

# 10
Ce5Te2Pt after structural relaxation. Source: Alexandria via LeMat-Bulk, functional GGA-PBE.

The structure in CIF format:
```
data_Ce5Te2Pt
_symmetry_space_group_name_H-M 'P 1'
_symmetry_Int_Tables_number 1
_cell_length_a 4.604
_cell_length_b 7.971
_cell_length_c 12.285
_cell_angle_alpha 90.00
_cell_angle_beta 90.00
_cell_angle_gamma 90.00
loop_
_symmetry_equiv_pos_as_xyz
'x,y,z'
loop_
_atom_site_label
_atom_site_type_symbol
_atom_site_fract_x
_atom_site_fract_y
_atom_site_fract_z
_atom_site_occupancy
Te1 Te 0.500 0.585 0.177 1
Te2 Te 0.500 0.085 0.323 1
Te3 Te 0.500 0.915 0.677 1
Te4 Te 0.500 0.415 0.823 1
Ce1 Ce 0.500 0.209 0.061 1
Ce2 Ce 0.500 0.291 0.561 1
Ce3 Ce 0.000 0.639 0.711 1
Ce4 Ce 0.000 0.500 0.000 1
Ce5 Ce 0.500 0.791 0.939 1
Ce6 Ce 0.000 0.000 0.500 1
Ce7 Ce 0.500 0.709 0.439 1
Ce8 Ce 0.000 0.861 0.211 1
Ce9 Ce 0.000 0.139 0.789 1
Ce10 Ce 0.000 0.361 0.289 1
Pt1 Pt 0.000 0.500 0.500 1
Pt2 Pt 0.000 0.000 0.000 1
```

The value obtained for the total energy is -98.46 eV/cell. The magnetic moment comes out at 11.3 Bohr magnetons per cell. The formation energy from raw total energies is -698 kJ/mol of formula units. As for the space group: Pbam.

# 11
CeTePt after structural relaxation. Source: Alexandria via LeMat-Bulk, functional GGA-PBE.

The structure in CIF format:
```
data_CeTePt
_symmetry_space_group_name_H-M 'P 1'
_symmetry_Int_Tables_number 1
_cell_length_a 4.163
_cell_length_b 3.907
_cell_length_c 10.087
_cell_angle_alpha 78.83
_cell_angle_beta 90.00
_cell_angle_gamma 90.00
loop_
_symmetry_equiv_pos_as_xyz
'x,y,z'
loop_
_atom_site_label
_atom_site_type_symbol
_atom_site_fract_x
_atom_site_fract_y
_atom_site_fract_z
_atom_site_occupancy
Pt1 Pt 0.250 0.543 0.914 1
Pt2 Pt 0.750 0.457 0.086 1
Te1 Te 0.750 0.320 0.359 1
Te2 Te 0.250 0.680 0.641 1
Ce1 Ce 0.250 0.903 0.194 1
Ce2 Ce 0.750 0.097 0.806 1
```

The value obtained for the total energy is -36.81 eV/cell. The magnetic moment comes out at 1.1 Bohr magnetons per cell. The formation energy from raw total energies is -318 kJ/mol of formula units. The energy relative to the lowest polymorph listed for this composition comes out at 0.0000 eV per atom. As for the space group: Cmcm.

# 12
Ce4TePt after structural relaxation. Source: Alexandria via LeMat-Bulk, functional GGA-PBE.

The structure in CIF format:
```
data_Ce4TePt
_symmetry_space_group_name_H-M 'P 1'
_symmetry_Int_Tables_number 1
_cell_length_a 6.186
_cell_length_b 7.534
_cell_length_c 8.305
_cell_angle_alpha 105.10
_cell_angle_beta 111.87
_cell_angle_gamma 90.00
loop_
_symmetry_equiv_pos_as_xyz
'x,y,z'
loop_
_atom_site_label
_atom_site_type_symbol
_atom_site_fract_x
_atom_site_fract_y
_atom_site_fract_z
_atom_site_occupancy
Ce1 Ce 0.936 0.871 0.650 1
Ce2 Ce 0.341 0.574 0.877 1
Ce3 Ce 0.464 0.926 0.123 1
Ce4 Ce 0.714 0.371 0.650 1
Ce5 Ce 0.659 0.426 0.123 1
Ce6 Ce 0.286 0.629 0.350 1
Ce7 Ce 0.536 0.074 0.877 1
Ce8 Ce 0.064 0.129 0.350 1
Pt1 Pt 0.000 0.500 0.500 1
Pt2 Pt 0.500 0.000 0.500 1
Te1 Te 0.106 0.250 0.000 1
Te2 Te 0.894 0.750 0.000 1
```

The value obtained for the total energy is -73.60 eV/cell. The magnetic moment comes out at 5.9 Bohr magnetons per cell. The formation energy from raw total energies is -374 kJ/mol of formula units. As for the space group: C2/c.